Entry 1:
Mn3Os2Ru4 after structural relaxation. Source: Alexandria via LeMat-Bulk, functional PBE.

```
Mn3Os2Ru4
1.0
5.429 -4.884 0.000
5.429 4.884 0.000
-1.181 0.000 4.558
Mn Os Ru
6 4 8
Direct
0.014 0.986 0.750
0.361 0.446 0.537
0.446 0.361 0.037
0.554 0.639 0.963
0.639 0.554 0.463
0.986 0.014 0.250
0.142 0.287 0.124
0.287 0.142 0.624
0.713 0.858 0.376
0.858 0.713 0.876
0.028 0.645 0.397
0.215 0.637 0.959
0.355 0.972 0.103
0.363 0.785 0.541
0.637 0.215 0.459
0.645 0.028 0.897
0.785 0.363 0.041
0.972 0.355 0.603
```

Entry 2:
Mn2OsRu after structural relaxation. Source: Alexandria via LeMat-Bulk, functional PBE.

```
Mn2OsRu
1.0
2.895 0.000 0.000
0.000 4.453 0.000
0.000 0.000 8.514
Mn Os Ru
4 2 2
Direct
0.000 0.000 0.249
0.000 0.000 0.751
0.500 0.500 0.249
0.500 0.500 0.751
0.000 0.500 0.500
0.500 0.000 0.500
0.000 0.500 0.000
0.500 0.000 0.000
```

Entry 3:
Mn2OsRu3 after structural relaxation. Source: Alexandria via LeMat-Bulk, functional PBE.

```
Mn2OsRu3
1.0
2.674 0.000 0.000
1.335 6.827 0.000
0.019 3.132 8.712
Mn Os Ru
4 2 6
Direct
0.249 0.000 0.375
0.250 0.999 0.876
0.750 0.001 0.124
0.751 0.000 0.625
0.090 0.321 0.628
0.910 0.679 0.372
0.090 0.321 0.128
0.410 0.677 0.123
0.411 0.676 0.623
0.589 0.324 0.377
0.590 0.323 0.877
0.910 0.679 0.872
```

Entry 4:
MnOs2Ru after structural relaxation. Source: Alexandria via LeMat-Bulk, functional PBE.

```
MnOs2Ru
1.0
6.037 0.000 0.000
0.000 6.037 0.000
0.000 0.000 6.037
Mn Os Ru
4 8 4
Direct
0.000 0.000 0.000
0.000 0.500 0.500
0.500 0.000 0.500
0.500 0.500 0.000
0.250 0.250 0.250
0.250 0.250 0.750
0.250 0.750 0.250
0.250 0.750 0.750
0.750 0.250 0.250
0.750 0.250 0.750
0.750 0.750 0.250
0.750 0.750 0.750
0.000 0.000 0.500
0.000 0.500 0.000
0.500 0.000 0.000
0.500 0.500 0.500
```

* offset from the most stable computed form: 211 kJ/mol of formula units

Entry 5:
MnOs2Ru after structural relaxation. Source: Alexandria via LeMat-Bulk, functional PBE.

```
MnOs2Ru
1.0
8.882 0.000 0.000
0.000 2.698 0.000
-0.805 0.000 4.585
Mn Os Ru
2 4 2
Direct
0.000 0.000 0.000
0.500 0.500 0.000
0.250 0.000 0.753
0.250 0.500 0.247
0.750 0.000 0.247
0.750 0.500 0.753
0.000 0.500 0.500
0.500 0.000 0.500
```

* offset from the most stable computed form: 13 kJ/mol of formula units

Entry 6:
MnOsRu after structural relaxation. Source: Alexandria via LeMat-Bulk, functional PBE.

```
MnOsRu
1.0
2.674 0.000 0.000
0.000 2.674 0.000
0.000 0.000 11.137
Mn Os Ru
2 2 2
Direct
0.000 0.000 0.000
0.500 0.500 0.500
0.000 0.000 0.339
0.500 0.500 0.839
0.000 0.000 0.664
0.500 0.500 0.164
```

* offset from the most stable computed form: 4 kJ/mol of formula units

Entry 7:
MnOsRu after structural relaxation. Source: Alexandria via LeMat-Bulk, functional PBE.

```
MnOsRu
1.0
0.000 5.699 7.277
2.343 0.000 7.277
2.343 5.699 0.000
Mn Os Ru
4 4 4
Direct
0.000 0.000 0.000
0.000 0.000 0.500
0.000 0.500 0.000
0.500 0.000 0.000
0.174 0.576 0.174
0.424 0.826 0.424
0.576 0.174 0.576
0.826 0.424 0.826
0.288 0.288 0.462
0.462 0.462 0.288
0.538 0.538 0.712
0.712 0.712 0.538
```

* offset from the most stable computed form: 157 kJ/mol of formula units

Entry 8:
MnOs2Ru after structural relaxation. Source: Alexandria via LeMat-Bulk, functional PBE.

```
MnOs2Ru
1.0
2.700 0.000 0.000
-1.350 2.338 0.000
0.000 0.000 25.922
Mn Os Ru
3 6 3
Direct
0.000 0.000 0.000
0.333 0.667 0.667
0.667 0.333 0.333
0.000 0.000 0.253
0.000 0.000 0.500
0.333 0.667 0.166
0.333 0.667 0.919
0.667 0.333 0.586
0.667 0.333 0.833
0.000 0.000 0.747
0.333 0.667 0.413
0.667 0.333 0.080
```

* offset from the most stable computed form: 36 kJ/mol of formula units

Entry 9:
MnOs2Ru after structural relaxation. Source: Alexandria via LeMat-Bulk, functional PBE.

```
MnOs2Ru
1.0
5.247 0.000 0.000
0.000 5.247 0.000
0.000 0.000 11.337
Mn Os Ru
4 8 4
Direct
0.000 0.000 0.000
0.000 0.500 0.250
0.500 0.000 0.750
0.500 0.500 0.500
0.228 0.250 0.125
0.250 0.728 0.375
0.250 0.772 0.875
0.272 0.250 0.625
0.728 0.750 0.625
0.750 0.228 0.875
0.750 0.272 0.375
0.772 0.750 0.125
0.000 0.000 0.500
0.000 0.500 0.750
0.500 0.000 0.250
0.500 0.500 0.000
```

* offset from the most stable computed form: 478 kJ/mol of formula units

Entry 10:
Mn2OsRu after structural relaxation. Source: Alexandria via LeMat-Bulk, functional PBE.

```
Mn2OsRu
1.0
8.695 0.000 0.000
0.000 2.646 0.000
-0.775 0.000 4.449
Mn Os Ru
4 2 2
Direct
0.000 0.000 0.000
0.249 0.000 0.747
0.500 0.500 0.000
0.749 0.500 0.747
0.000 0.500 0.510
0.500 0.000 0.510
0.249 0.500 0.235
0.749 0.000 0.235
```

Entry 11:
Mn2OsRu after structural relaxation. Source: Alexandria via LeMat-Bulk, functional PBE.

```
Mn2OsRu
1.0
5.995 0.000 0.000
0.000 5.995 0.000
0.000 0.000 5.995
Mn Os Ru
8 4 4
Direct
0.000 0.000 0.000
0.000 0.500 0.500
0.250 0.250 0.250
0.250 0.750 0.750
0.500 0.000 0.500
0.500 0.500 0.000
0.750 0.250 0.750
0.750 0.750 0.250
0.250 0.250 0.750
0.250 0.750 0.250
0.750 0.250 0.250
0.750 0.750 0.750
0.000 0.000 0.500
0.000 0.500 0.000
0.500 0.000 0.000
0.500 0.500 0.500
```

Entry 12:
Mn5Os3Ru12 after structural relaxation. Source: Alexandria via LeMat-Bulk, functional PBE.

```
Mn5Os3Ru12
1.0
-6.927 6.927 6.927
6.927 -6.927 6.927
6.927 6.927 -6.927
Mn Os Ru
20 12 48
Direct
0.000 0.000 0.000
0.000 0.000 0.500
0.000 0.500 0.000
0.000 0.500 0.500
0.125 0.750 0.875
0.125 0.875 0.250
0.250 0.125 0.875
0.250 0.625 0.375
0.375 0.250 0.625
0.375 0.625 0.750
0.500 0.000 0.000
0.500 0.000 0.500
0.500 0.500 0.000
0.500 0.500 0.500
0.625 0.375 0.250
0.625 0.750 0.375
0.750 0.375 0.625
0.750 0.875 0.125
0.875 0.125 0.750
0.875 0.250 0.125
0.125 0.250 0.375
0.125 0.375 0.750
0.250 0.375 0.125
0.250 0.875 0.625
0.375 0.125 0.250
0.375 0.750 0.125
0.625 0.250 0.875
0.625 0.875 0.750
0.750 0.125 0.375
0.750 0.625 0.875
0.875 0.625 0.250
0.875 0.750 0.625
0.051 0.225 0.131
0.051 0.326 0.920
0.080 0.631 0.406
0.080 0.949 0.674
0.094 0.725 0.674
0.094 0.869 0.420
0.131 0.051 0.225
0.131 0.580 0.906
0.174 0.225 0.594
0.174 0.449 0.580
0.225 0.131 0.051
0.225 0.594 0.174
0.275 0.326 0.906
0.275 0.449 0.369
0.326 0.906 0.275
0.326 0.920 0.051
0.369 0.275 0.449
0.369 0.594 0.920
0.406 0.080 0.631
0.406 0.826 0.775
0.420 0.094 0.869
0.420 0.826 0.551
0.449 0.369 0.275
0.449 0.580 0.174
0.551 0.420 0.826
0.551 0.631 0.725
0.580 0.174 0.449
0.580 0.906 0.131
0.594 0.174 0.225
0.594 0.920 0.369
0.631 0.406 0.080
0.631 0.725 0.551
0.674 0.080 0.949
0.674 0.094 0.725
0.725 0.551 0.631
0.725 0.674 0.094
0.775 0.406 0.826
0.775 0.869 0.949
0.826 0.551 0.420
0.826 0.775 0.406
0.869 0.420 0.094
0.869 0.949 0.775
0.906 0.131 0.580
0.906 0.275 0.326
0.920 0.051 0.326
0.920 0.369 0.594
0.949 0.674 0.080
0.949 0.775 0.869
```

Entry 13:
Mn4OsRu after structural relaxation. Source: Alexandria via LeMat-Bulk, functional PBE.

```
Mn4OsRu
1.0
4.609 0.000 0.000
0.000 2.650 0.000
-1.369 0.000 6.282
Mn Os Ru
4 1 1
Direct
0.235 0.000 0.162
0.264 0.500 0.839
0.736 0.500 0.161
0.765 0.000 0.838
0.500 0.500 0.500
0.000 0.000 0.500
```

* offset from the most stable computed form: 12 kJ/mol of formula units

Entry 14:
Mn3OsRu after structural relaxation. Source: Alexandria via LeMat-Bulk, functional PBE.

```
Mn3OsRu
1.0
4.559 0.000 0.000
0.000 4.559 0.000
0.000 0.000 4.559
Mn Os Ru
3 1 1
Direct
0.000 0.000 0.500
0.000 0.500 0.000
0.500 0.000 0.000
0.000 0.000 0.000
0.500 0.500 0.500
```

* offset from the most stable computed form: 684 kJ/mol of formula units

Entry 15:
Mn3Os4Ru2 after structural relaxation. Source: Alexandria via LeMat-Bulk, functional PBE.

```
Mn3Os4Ru2
1.0
6.452 -4.461 0.000
6.452 4.461 0.000
-0.726 0.000 4.330
Mn Os Ru
6 8 4
Direct
0.155 0.845 0.750
0.175 0.490 0.916
0.490 0.175 0.416
0.510 0.825 0.584
0.825 0.510 0.084
0.845 0.155 0.250
0.126 0.338 0.370
0.328 0.542 0.465
0.338 0.126 0.870
0.458 0.672 0.035
0.542 0.328 0.965
0.662 0.874 0.130
0.672 0.458 0.535
0.874 0.662 0.630
0.006 0.789 0.201
0.211 0.994 0.299
0.789 0.006 0.701
0.994 0.211 0.799
```

Entry 16:
Mn2OsRu6 after structural relaxation. Source: Alexandria via LeMat-Bulk, functional PBE.

```
Mn2OsRu6
1.0
4.768 -4.196 0.000
4.768 4.196 0.000
-3.354 0.000 6.246
Mn Os Ru
4 2 12
Direct
0.045 0.323 0.476
0.323 0.045 0.976
0.677 0.955 0.024
0.955 0.677 0.524
0.370 0.630 0.750
0.630 0.370 0.250
0.016 0.798 0.898
0.173 0.399 0.911
0.202 0.984 0.602
0.246 0.560 0.332
0.399 0.173 0.411
0.440 0.754 0.168
0.560 0.246 0.832
0.601 0.827 0.589
0.754 0.440 0.668
0.798 0.016 0.398
0.827 0.601 0.089
0.984 0.202 0.102
```

Entry 17:
Mn4Os3Ru2 after structural relaxation. Source: Alexandria via LeMat-Bulk, functional PBE.

```
Mn4Os3Ru2
1.0
5.646 -4.814 0.000
5.646 4.814 0.000
-0.943 0.000 4.526
Mn Os Ru
8 6 4
Direct
0.140 0.707 0.983
0.146 0.519 0.426
0.293 0.860 0.517
0.481 0.854 0.074
0.519 0.146 0.926
0.707 0.140 0.483
0.854 0.481 0.574
0.860 0.293 0.017
0.043 0.169 0.494
0.169 0.043 0.994
0.448 0.552 0.750
0.552 0.448 0.250
0.831 0.957 0.006
0.957 0.831 0.506
0.204 0.375 0.919
0.375 0.204 0.419
0.625 0.796 0.581
0.796 0.625 0.081
```

Entry 18:
Mn2OsRu after structural relaxation. Source: Alexandria via LeMat-Bulk, functional PBE.

```
Mn2OsRu
1.0
2.654 0.000 0.000
0.000 3.975 0.000
-1.319 0.000 4.753
Mn Os Ru
2 1 1
Direct
0.000 0.000 0.000
0.114 0.500 0.231
0.729 0.000 0.461
0.385 0.500 0.769
```

Entry 19:
Mn2OsRu after structural relaxation. Source: Alexandria via LeMat-Bulk, functional PBE.

```
Mn2OsRu
1.0
2.651 0.000 0.000
-1.325 2.296 0.000
0.000 0.000 8.328
Mn Os Ru
2 1 1
Direct
0.333 0.667 0.251
0.667 0.333 0.749
0.000 0.000 0.000
0.000 0.000 0.500
```

Entry 20:
MnOs2Ru after structural relaxation. Source: Alexandria via LeMat-Bulk, functional PBE.

```
MnOs2Ru
1.0
2.815 0.000 0.000
0.000 4.494 0.000
0.000 0.000 4.510
Mn Os Ru
1 2 1
Direct
0.000 0.000 0.000
0.000 0.500 0.500
0.500 0.000 0.500
0.500 0.500 0.000
```

* offset from the most stable computed form: 126 kJ/mol of formula units

We obtain formation energy from the elements values of 0.179; 0.279; 0.126; 0.613; 0.099; 0.115; 0.645; 0.159; 1.304; 0.097; 0.314; 0.923; 0.063; 1.598; 0.185; 0.239; 0.226; 0.019; 0.101; 0.391 eV/atom for the records listed above, in that order.
We obtain magnetic moment values of 2.6; 12.0; 4.5; 0.1; 3.6; 2.4; 11.5; 3.3; 0.0; 4.8; 21.6; 2.9; 0.0; 8.7; 13.2; 0.0; 14.2; 0.0; 0.0; 3.3 Bohr magnetons per cell for the records listed above, in that order.
We obtain DFT total energy values of -9.496; -9.433; -9.440; -9.613; -10.128; -9.777; -9.246; -10.067; -8.923; -9.614; -9.397; -8.620; -9.467; -8.005; -9.924; -9.230; -9.654; -9.692; -9.610; -9.835 eV per atom for the records listed above, in that order.